No. 1
## K3LaTi (PBE-GGA)

Data for a geometry-optimized K3LaTi structure.

Computed properties:
Final energy (eV per atom): -1.5996
Density (g cm⁻³): 1.625
E_form (kJ per mole of atoms): 156.6

Cell: 6.7736 6.7736 6.7736 Å, 90.00 90.00 90.00°
Space group Pm-3m (No. 221)
Asymmetric unit:
K 0.0000 0.0000 0.5000
La 0.0000 0.0000 0.0000
Ti 0.5000 0.5000 0.5000

No. 2
## K2LaTi (PBE-GGA)

Data for a geometry-optimized K2LaTi structure.

Computed properties:
Final energy (eV per atom): -2.8688
Density (g cm⁻³): 2.789
E_form (kJ per mole of atoms): 85.4

Cell: 4.6950 4.6950 28.6245 Å, 90.00 90.00 90.00°
Space group I-42d (No. 122)
Asymmetric unit:
K 0.2393 0.2500 0.1250
La 0.0000 0.0000 0.5000
Ti 0.0000 0.0000 0.0000

No. 3
## KLa4Tl (PBE-GGA)

Data for a geometry-optimized KLa4Tl structure.

Computed properties:
Final energy (eV per atom): -3.5746
Density (g cm⁻³): 5.909
E_form (kJ per mole of atoms): 27.7

Cell: 9.6484 9.6484 9.6484 Å, 90.00 90.00 90.00°
Space group F-43m (No. 216)
Asymmetric unit:
K 0.0000 0.0000 0.0000
La 0.1199 0.1199 0.6199
Tl 0.2500 0.2500 0.2500

No. 4
## KLaTl2 (PBE-GGA)

Data for a geometry-optimized KLaTl2 structure.

Computed properties:
Final energy (eV per atom): -2.6839
Density (g cm⁻³): 6.577
E_form (kJ per mole of atoms): 0.5

Cell: 4.3559 4.3559 7.8084 Å, 90.00 90.00 90.00°
Space group P4mm (No. 99)
Asymmetric unit:
K 0.0000 0.0000 0.0000
La 0.5000 0.5000 0.3561
Tl 0.0000 0.0000 0.5295
Tl 0.5000 0.5000 0.7718

No. 5
## KLaTl2 (PBE-GGA)

Data for a geometry-optimized KLaTl2 structure.

Computed properties:
Final energy (eV per atom): -2.7239
Density (g cm⁻³): 6.593
E_form (kJ per mole of atoms): -3.3

Cell: 3.7677 3.7677 10.4106 Å, 90.00 90.00 90.00°
Space group P4mm (No. 99)
Asymmetric unit:
K 0.0000 0.0000 0.0000
La 0.5000 0.5000 0.3531
Tl 0.0000 0.0000 0.5508
Tl 0.5000 0.5000 0.7452

No. 6
## KLaTl3 (PBE-GGA)

Data for a geometry-optimized KLaTl3 structure.

Computed properties:
Final energy (eV per atom): -2.3930
Density (g cm⁻³): 5.452
E_form (kJ per mole of atoms): 22.4

Cell: 6.2226 6.2226 6.2226 Å, 90.00 90.00 90.00°
Space group Pm-3m (No. 221)
Asymmetric unit:
K 0.0000 0.0000 0.0000
La 0.5000 0.5000 0.5000
Tl 0.0000 0.5000 0.5000

No. 7
## KLaTl3 (PBE-GGA)

Data for a geometry-optimized KLaTl3 structure.

Computed properties:
Final energy (eV per atom): -2.1275
Density (g cm⁻³): 6.842
E_form (kJ per mole of atoms): 48.0

Cell: 5.7692 5.7692 5.7692 Å, 90.00 90.00 90.00°
Space group Pm-3m (No. 221)
Asymmetric unit:
K 0.0000 0.0000 0.0000
La 0.5000 0.5000 0.5000
Tl 0.0000 0.0000 0.5000

No. 8
## KLaTl2 (PBE-GGA)

Data for a geometry-optimized KLaTl2 structure.

Computed properties:
Final energy (eV per atom): -2.9269
Density (g cm⁻³): 6.928
E_form (kJ per mole of atoms): -22.9

Cell: 4.0160 4.0160 8.7196 Å, 90.00 90.00 90.00°
Space group P4/mmm (No. 123)
Asymmetric unit:
K 0.0000 0.0000 0.0000
La 0.0000 0.0000 0.5000
Tl 0.5000 0.5000 0.2853

No. 9
## K3LaTl (PBE-GGA)

Data for a geometry-optimized K3LaTl structure.

Computed properties:
Final energy (eV per atom): -1.2254
Density (g cm⁻³): 2.270
E_form (kJ per mole of atoms): 86.0

Cell: 6.9585 6.9585 6.9585 Å, 90.00 90.00 90.00°
Space group Pm-3m (No. 221)
Asymmetric unit:
K 0.0000 0.0000 0.5000
La 0.0000 0.0000 0.0000
Tl 0.5000 0.5000 0.5000

No. 10
## KLaTl2 (PBE-GGA)

Data for a geometry-optimized KLaTl2 structure.

Computed properties:
Final energy (eV per atom): -2.7642
Density (g cm⁻³): 6.406
E_form (kJ per mole of atoms): -7.2

Cell: 10.3842 3.6433 8.1221 Å, 90.00 98.10 90.00°
Space group C2/m (No. 12)
Asymmetric unit:
K 0.0000 0.0000 0.0000
La 0.0000 0.5000 0.5000
Tl 0.2481 0.0000 0.7018

No. 11
## KLaTl2 (PBE-GGA)

Data for a geometry-optimized KLaTl2 structure.

Computed properties:
Final energy (eV per atom): -2.7915
Density (g cm⁻³): 7.228
E_form (kJ per mole of atoms): -9.9

Cell: 3.7723 5.8028 12.3172 Å, 90.00 90.00 90.00°
Space group Imm2 (No. 44)
Asymmetric unit:
K 0.0000 0.0000 0.0000
La 0.0000 0.5000 0.7923
Tl 0.0000 0.0000 0.5321
Tl 0.0000 0.5000 0.2383

No. 12
## KLa2Tl2 (PBE-GGA)

Data for a geometry-optimized KLa2Tl2 structure.

Computed properties:
Final energy (eV per atom): -3.1498
Density (g cm⁻³): 6.275
E_form (kJ per mole of atoms): -1.2

Cell: 5.0952 5.0952 14.7944 Å, 90.00 90.00 90.00°
Space group I4/mmm (No. 139)
Asymmetric unit:
K 0.0000 0.0000 0.0000
La 0.0000 0.5000 0.2500
Tl 0.0000 0.0000 0.3996

No. 13
## KLaTl2 (PBE-GGA)

Data for a geometry-optimized KLaTl2 structure.

Computed properties:
Final energy (eV per atom): -2.5879
Density (g cm⁻³): 6.433
E_form (kJ per mole of atoms): 9.8

Cell: 9.0222 9.0222 7.4433 Å, 90.00 90.00 90.00°
Space group I-42d (No. 122)
Asymmetric unit:
K 0.0000 0.0000 0.0000
La 0.0000 0.0000 0.5000
Tl 0.2334 0.2500 0.6250

No. 14
## KLaTl2 (PBE-GGA)

Data for a geometry-optimized KLaTl2 structure.

Computed properties:
Final energy (eV per atom): -2.7346
Density (g cm⁻³): 6.798
E_form (kJ per mole of atoms): -4.4

Cell: 3.6756 5.5346 7.0461 Å, 90.00 90.00 90.00°
Space group Pmm2 (No. 25)
Asymmetric unit:
K 0.0000 0.0000 0.0000
La 0.5000 0.5000 0.3809
Tl 0.0000 0.0000 0.5034
Tl 0.5000 0.5000 0.8372

No. 15
## KLa2Tl2 (PBE-GGA)

Data for a geometry-optimized KLa2Tl2 structure.

Computed properties:
Final energy (eV per atom): -3.3552
Density (g cm⁻³): 6.972
E_form (kJ per mole of atoms): -21.1

Cell: 9.8885 9.8885 3.5351 Å, 90.00 90.00 90.00°
Space group P4/mbm (No. 127)
Asymmetric unit:
K 0.0000 0.0000 0.0000
La 0.1212 0.3788 0.0000
Tl 0.1755 0.6755 0.5000

No. 16
## KLa5Tl6 (PBE-GGA)

Data for a geometry-optimized KLa5Tl6 structure.

Computed properties:
Final energy (eV per atom): -3.6646
Density (g cm⁻³): 8.444
E_form (kJ per mole of atoms): -32.5

Cell: 5.6625 7.9624 8.9921 Å, 90.00 108.07 90.00°
Space group P2/m (No. 10)
Asymmetric unit:
K 0.0000 0.0000 0.0000
La 0.0000 0.5000 0.0000
La 0.3349 0.5000 0.6685
La 0.3404 0.0000 0.6790
Tl 0.1688 0.2491 0.3398
Tl 0.5000 0.2609 0.0000

No. 17
## KLaTl2 (PBE-GGA)

Data for a geometry-optimized KLaTl2 structure.

Computed properties:
Final energy (eV per atom): -2.7648
Density (g cm⁻³): 6.843
E_form (kJ per mole of atoms): -7.3

Cell: 3.8227 3.8227 33.7525 Å, 90.00 90.00 120.00°
Space group R-3m (No. 166, hexagonal axes)
Asymmetric unit:
K 0.0000 0.0000 0.0000
La 0.0000 0.0000 0.5000
Tl 0.0000 0.0000 0.2458

No. 18
## KLaTl2 (PBE-GGA)

Data for a geometry-optimized KLaTl2 structure.

Computed properties:
Final energy (eV per atom): -2.6325
Density (g cm⁻³): 7.429
E_form (kJ per mole of atoms): 5.5

Cell: 8.0652 8.0652 8.0652 Å, 90.00 90.00 90.00°
Space group F-43m (No. 216)
Asymmetric unit:
K 0.0000 0.0000 0.0000
La 0.2500 0.2500 0.2500
Tl 0.0000 0.0000 0.5000
Tl 0.2500 0.2500 0.7500

No. 19
## KLa2Tl9 (PBE-GGA)

Data for a geometry-optimized KLa2Tl9 structure.

Computed properties:
Final energy (eV per atom): -2.9137
Density (g cm⁻³): 9.889
E_form (kJ per mole of atoms): -21.8

Cell: 4.9307 4.9307 14.8930 Å, 90.00 90.00 90.00°
Space group P4/mmm (No. 123)
Asymmetric unit:
K 0.0000 0.0000 0.0000
La 0.0000 0.0000 0.3394
Tl 0.0000 0.5000 0.1738
Tl 0.0000 0.5000 0.5000
Tl 0.5000 0.5000 0.0000
Tl 0.5000 0.5000 0.3354

No. 20
## KLaTl2 (PBE-GGA)

Data for a geometry-optimized KLaTl2 structure.

Computed properties:
Final energy (eV per atom): -2.8893
Density (g cm⁻³): 7.301
E_form (kJ per mole of atoms): -19.3

Cell: 5.8189 5.8189 3.9415 Å, 90.00 90.00 90.00°
Space group P4/mmm (No. 123)
Asymmetric unit:
K 0.0000 0.0000 0.0000
La 0.5000 0.5000 0.0000
Tl 0.0000 0.5000 0.5000

No. 21
## KLaTl2 (PBE-GGA)

Data for a geometry-optimized KLaTl2 structure.

Computed properties:
Final energy (eV per atom): -2.7255
Density (g cm⁻³): 6.781
E_form (kJ per mole of atoms): -3.5

Cell: 5.9247 3.6677 6.9254 Å, 90.00 107.28 90.00°
Space group P2/m (No. 10)
Asymmetric unit:
K 0.0000 0.0000 0.0000
La 0.5000 0.5000 0.5000
Tl 0.0000 0.0000 0.5000
Tl 0.5000 0.5000 0.0000

No. 22
## KLaTl2 (PBE-GGA)

Data for a geometry-optimized KLaTl2 structure.

Computed properties:
Final energy (eV per atom): -2.7287
Density (g cm⁻³): 7.478
E_form (kJ per mole of atoms): -3.8

Cell: 5.0115 5.0115 10.3754 Å, 90.00 90.00 90.00°
Space group I-4m2 (No. 119)
Asymmetric unit:
K 0.0000 0.0000 0.0000
La 0.0000 0.5000 0.7500
Tl 0.0000 0.0000 0.5000
Tl 0.0000 0.5000 0.2500

No. 23
## KLaTl2 (PBE-GGA)

Data for a geometry-optimized KLaTl2 structure.

Computed properties:
Final energy (eV per atom): -2.7964
Density (g cm⁻³): 7.243
E_form (kJ per mole of atoms): -10.3

Cell: 13.0459 3.7337 5.8508 Å, 90.00 109.25 90.00°
Space group Cm (No. 8)
Asymmetric unit:
K 0.0000 0.0000 0.0000
La 0.2071 0.0000 0.6429
Tl 0.2561 0.5000 0.1799
Tl 0.4587 0.0000 0.4772

No. 24
## KLaTlZn2 (PBE-GGA)

Data for a geometry-optimized KLaTlZn2 structure.

Computed properties:
Final energy (eV per atom): -1.6959
Density (g cm⁻³): 5.213
E_form (kJ per mole of atoms): 47.5

Cell: 5.2744 5.2744 5.8759 Å, 90.00 90.00 90.00°
Space group P4/mmm (No. 123)
Asymmetric unit:
K 0.0000 0.0000 0.0000
La 0.5000 0.5000 0.0000
Tl 0.0000 0.0000 0.5000
Zn 0.0000 0.5000 0.5000

No. 25
## KLa2Tm (PBE-GGA)

Data for a geometry-optimized KLa2Tm structure.

Computed properties:
Final energy (eV per atom): -3.6751
Density (g cm⁻³): 5.060
E_form (kJ per mole of atoms): 17.5

Cell: 3.6862 3.6862 40.6500 Å, 90.00 90.00 120.00°
Space group R-3m (No. 166, hexagonal axes)
Asymmetric unit:
K 0.0000 0.0000 0.0000
La 0.0000 0.0000 0.0967
Tm 0.0000 0.0000 0.5000

No. 26
## KLa3V (PBE-GGA)

Data for a geometry-optimized KLa3V structure.

Computed properties:
Final energy (eV per atom): -3.5328
Density (g cm⁻³): 4.765
E_form (kJ per mole of atoms): 141.5

Cell: 5.6103 5.6103 5.6103 Å, 90.00 90.00 90.00°
Space group Pm-3m (No. 221)
Asymmetric unit:
K 0.0000 0.0000 0.0000
La 0.0000 0.0000 0.5000
V 0.5000 0.5000 0.5000

No. 27
## K2LaV (PBE-GGA)

Data for a geometry-optimized K2LaV structure.

Computed properties:
Final energy (eV per atom): -2.8627
Density (g cm⁻³): 2.820
E_form (kJ per mole of atoms): 115.5

Cell: 8.5787 8.5787 8.5787 Å, 90.00 90.00 90.00°
Space group Fm-3m (No. 225)
Asymmetric unit:
K 0.2500 0.2500 0.2500
La 0.0000 0.0000 0.0000
V 0.0000 0.0000 0.5000

No. 28
## KLaV3 (PBE-GGA)

Data for a geometry-optimized KLaV3 structure.

Computed properties:
Final energy (eV per atom): -4.7960
Density (g cm⁻³): 4.857
E_form (kJ per mole of atoms): 181.4

Cell: 4.8360 4.8360 4.8360 Å, 90.00 90.00 90.00°
Space group Pm-3m (No. 221)
Asymmetric unit:
K 0.0000 0.0000 0.0000
La 0.5000 0.5000 0.5000
V 0.0000 0.5000 0.5000